5
Lattice="5.0679 0.0000 0.0000 0.0000 5.0679 0.0000 0.0000 0.0000 5.0679" Properties=species:S:1:pos:R:3 comment="Pr3HgF, relaxed, DFT PBE" n_ef_per_ev_cell=3.88 density_g_cm3=8.19 vol_a3_per_atom=26.03 spacegroup="No. 221" raw_formation_energy_ev_per_atom=-1.070 pbc="T T T"
Pr 0.0000 0.0000 2.5340
Pr 0.0000 2.5340 0.0000
Pr 2.5340 0.0000 0.0000
Hg 2.5340 2.5340 2.5340
F 0.0000 0.0000 0.0000